A relaxed CdAuNF2 crystal. Source: the Alexandria database, functional PBE.

Calculated values
Offset from the most stable computed form ... 0 meV/atom
ΔE_f (raw) ... 0.042 eV per atom

Lattice parameters (Å, degrees): 4.6244 4.6244 3.8384 90.00 90.00 90.00
Closest atoms and distances in Å follow each position.
Element x y z (fractional)
Cd (0.0000, 0.0000, 0.0000)  8 F 3.00, 4 N 3.27
Au (0.5000, 0.5000, 0.5000)  2 N 1.92
N (0.5000, 0.5000, 0.0000)  2 Au 1.92
F (0.0000, 0.5000, 0.5000)  2 Au 2.31
F (0.5000, 0.0000, 0.5000)  2 Au 2.31